1.
A plane-wave DFT calculation with PBE was carried out for Pm4Pr5Th after structural relaxation.

Cell: 3.676 3.676 26.142 Å, 90.00 90.00 90.00°
Sites, in units of the cell vectors:
Pr  0.500  0.500  0.500
Pr  0.500  0.500  0.905
Pr  0.500  0.500  0.095
Pr  0.500  0.500  0.299
Pr  0.500  0.500  0.701
Pm  0.000  0.000  0.200
Pm  0.000  0.000  0.800
Pm  0.000  0.000  0.400
Pm  0.000  0.000  0.600
Th  0.000  0.000  0.000

Properties
raw total energy	-50.02	eV per cell
formation enthalpy at 0 K	0.3	eV/f.u.
energy above the most stable polymorph in this dataset	5	meV/atom
total magnetization	0.00	μB/atom
crystal system	tetragonal

=====

2.
A plane-wave DFT calculation with PBE was carried out for Pm12Pr5Th2 after structural relaxation.

Cell: 7.161 8.824 11.895 Å, 109.16 107.52 90.00°
Sites, in units of the cell vectors:
Pm  0.638  0.616  0.787
Pm  0.362  0.384  0.213
Pm  0.454  0.299  0.907
Pm  0.851  0.384  0.213
Pm  0.861  0.947  0.723
Pm  0.139  0.053  0.277
Pm  0.454  0.793  0.401
Pm  0.546  0.701  0.093
Pm  0.149  0.616  0.787
Pm  0.053  0.207  0.599
Pm  0.546  0.207  0.599
Pm  0.947  0.793  0.401
Pr  0.752  0.511  0.503
Pr  0.000  0.500  0.000
Pr  0.248  0.489  0.497
Pr  0.350  0.905  0.700
Pr  0.650  0.095  0.300
Th  0.750  0.000  0.000
Th  0.250  0.000  0.000

Properties
raw total energy	-92.84	eV per cell
formation enthalpy at 0 K	2.9	eV/f.u.
energy above the most stable polymorph in this dataset	16	meV/atom
total magnetization	0.00	μB/atom
crystal system	monoclinic

=====

3.
A plane-wave DFT calculation with PBE was carried out for Pm5Pr8Th after structural relaxation.

Cell: 8.695 8.695 8.695 Å, 110.23 107.95 110.24°
Sites, in units of the cell vectors:
Pm  0.500  0.000  0.500
Pm  0.285  0.097  0.977
Pm  0.023  0.308  0.120
Pm  0.880  0.903  0.188
Pm  0.812  0.692  0.715
Pr  0.342  0.281  0.435
Pr  0.565  0.907  0.846
Pr  0.523  0.605  0.258
Pr  0.154  0.719  0.061
Pr  0.742  0.266  0.347
Pr  0.653  0.395  0.919
Pr  0.081  0.734  0.477
Pr  0.939  0.093  0.658
Th  0.250  0.500  0.750

Properties
raw total energy	-65.70	eV per cell
formation enthalpy at 0 K	3.7	eV/f.u.
total magnetization	0.00	μB/atom
crystal system	tetragonal

=====

4.
A plane-wave DFT calculation with PBE was carried out for Pm6PrTh after structural relaxation.

Cell: 5.156 5.156 10.313 Å, 90.00 90.00 90.00°
Sites, in units of the cell vectors:
Pm  0.500  0.000  0.745
Pm  0.500  0.500  0.000
Pm  0.000  0.500  0.255
Pm  0.500  0.000  0.255
Pm  0.000  0.500  0.745
Pm  0.500  0.500  0.500
Pr  0.000  0.000  0.000
Th  0.000  0.000  0.500

Properties
raw total energy	-40.46	eV per cell
formation enthalpy at 0 K	0.2	eV/f.u.
energy above the most stable polymorph in this dataset	0	meV/atom
total magnetization	0.00	μB/atom
crystal system	tetragonal

=====

5.
A plane-wave DFT calculation with PBE was carried out for PmPr2Th4 after structural relaxation.

Cell: 3.603 3.603 18.472 Å, 90.00 95.60 90.00°
Sites, in units of the cell vectors:
Th  0.929  0.500  0.858
Th  0.363  0.000  0.726
Th  0.637  0.000  0.274
Th  0.071  0.500  0.142
Pr  0.795  0.500  0.590
Pr  0.205  0.500  0.410
Pm  0.500  0.000  0.000

Properties
raw total energy	-43.45	eV per cell
formation enthalpy at 0 K	0.5	eV/f.u.
total magnetization	0.00	μB/atom
crystal system	orthorhombic

=====

6.
A plane-wave DFT calculation with PBE was carried out for PmPrTh after structural relaxation.

Cell: 3.633 3.633 8.978 Å, 90.00 90.00 120.00°
Sites, in units of the cell vectors:
Pr  0.000  0.000  0.012
Pm  0.333  0.667  0.653
Th  0.667  0.333  0.335

Properties
raw total energy	-16.86	eV per cell
formation enthalpy at 0 K	0.1	eV/f.u.
energy above the most stable polymorph in this dataset	10	meV/atom
total magnetization	0.00	μB/atom
crystal system	trigonal

=====

7.
A plane-wave DFT calculation with PBE was carried out for Pm6PrTh after structural relaxation.

Cell: 6.791 6.658 6.935 Å, 89.51 60.68 88.99°
Sites, in units of the cell vectors:
Pm  0.422  0.247  0.495
Pm  0.578  0.753  0.505
Pm  0.917  0.247  0.505
Pm  0.464  0.243  0.000
Pm  0.536  0.757  0.000
Pm  0.083  0.753  0.495
Pr  0.000  0.500  0.000
Th  0.000  0.000  0.000

Properties
raw total energy	-39.13	eV per cell
formation enthalpy at 0 K	1.6	eV/f.u.
energy above the most stable polymorph in this dataset	167	meV/atom
total magnetization	0.00	μB/atom
crystal system	monoclinic

=====

8.
A plane-wave DFT calculation with PBE was carried out for Pm12Pr5Th2 after structural relaxation.

Cell: 9.449 12.583 8.896 Å, 132.26 90.00 112.05°
Sites, in units of the cell vectors:
Pr  0.234  0.467  0.903
Pr  0.000  0.000  0.500
Pr  0.711  0.421  0.381
Pr  0.766  0.533  0.097
Pr  0.289  0.579  0.619
Pm  0.444  0.888  0.229
Pm  0.966  0.290  0.049
Pm  0.324  0.290  0.049
Pm  0.171  0.735  0.424
Pm  0.829  0.265  0.576
Pm  0.436  0.265  0.576
Pm  0.564  0.735  0.424
Pm  0.069  0.137  0.258
Pm  0.676  0.710  0.951
Pm  0.556  0.112  0.771
Pm  0.034  0.710  0.951
Pm  0.931  0.863  0.742
Th  0.666  0.000  0.000
Th  0.334  0.000  0.000

Properties
raw total energy	-93.15	eV per cell
formation enthalpy at 0 K	2.6	eV/f.u.
energy above the most stable polymorph in this dataset	0	meV/atom
total magnetization	0.00	μB/atom
crystal system	monoclinic

=====

9.
A plane-wave DFT calculation with PBE was carried out for Pm4PrTh after structural relaxation.

Cell: 3.632 9.686 12.105 Å, 148.75 89.98 100.83°
Sites, in units of the cell vectors:
Pm  0.826  0.653  0.492
Pm  0.661  0.323  0.998
Pm  0.338  0.677  0.002
Pm  0.174  0.347  0.508
Th  0.000  0.000  0.000
Pr  0.500  0.000  0.500

Properties
raw total energy	-31.01	eV per cell
formation enthalpy at 0 K	0.2	eV/f.u.
energy above the most stable polymorph in this dataset	0	meV/atom
total magnetization	0.00	μB/atom
crystal system	monoclinic

=====

10.
A plane-wave DFT calculation with PBE was carried out for Pm12Pr2Th after structural relaxation.

Cell: 6.580 6.580 25.360 Å, 90.00 90.00 90.00°
Sites, in units of the cell vectors:
Pm  0.500  0.500  0.787
Pm  0.000  0.000  0.213
Pm  0.690  0.190  0.111
Pm  0.500  0.500  0.213
Pm  0.810  0.690  0.111
Pm  0.332  0.832  0.438
Pm  0.500  0.500  0.338
Pm  0.310  0.810  0.111
Pm  0.832  0.668  0.438
Pm  0.168  0.332  0.438
Pm  0.190  0.690  0.889
Pm  0.668  0.832  0.562
Pm  0.810  0.310  0.889
Pm  0.668  0.168  0.438
Pm  0.332  0.168  0.562
Pm  0.310  0.190  0.889
Pm  0.000  0.000  0.338
Pm  0.190  0.310  0.111
Pm  0.500  0.500  0.662
Pm  0.690  0.810  0.889
Pm  0.000  0.000  0.787
Pm  0.000  0.000  0.662
Pm  0.168  0.668  0.562
Pm  0.832  0.332  0.562
Pr  0.500  0.000  0.733
Pr  0.000  0.500  0.733
Pr  0.500  0.000  0.267
Pr  0.000  0.500  0.267
Th  0.000  0.500  0.000
Th  0.500  0.000  0.000

Properties
raw total energy	-138.13	eV per cell
formation enthalpy at 0 K	4.9	eV/f.u.
total magnetization	0.00	μB/atom
crystal system	tetragonal

=====

11.
A plane-wave DFT calculation with PBE was carried out for Pm4Pr7Th after structural relaxation.

Cell: 6.180 11.923 6.887 Å, 83.44 63.34 74.98°
Sites, in units of the cell vectors:
Pr  0.630  0.500  0.241
Pr  0.370  0.500  0.759
Pr  0.788  0.921  0.503
Pr  0.062  0.679  0.198
Pr  0.938  0.321  0.802
Pr  0.500  0.000  0.000
Pr  0.212  0.079  0.497
Pm  0.641  0.223  0.495
Pm  0.243  0.321  0.192
Pm  0.359  0.777  0.505
Pm  0.757  0.679  0.808
Th  0.000  0.000  0.000

Properties
raw total energy	-56.79	eV per cell
formation enthalpy at 0 K	3.1	eV/f.u.
energy above the most stable polymorph in this dataset	234	meV/atom
total magnetization	0.00	μB/atom
crystal system	monoclinic

=====

12.
A plane-wave DFT calculation with PBE was carried out for Pm7Pr4Th after structural relaxation.

Cell: 7.371 9.749 9.170 Å, 81.15 89.95 40.99°
Sites, in units of the cell vectors:
Pm  0.030  0.725  0.327
Pm  0.216  0.784  0.674
Pm  0.744  0.500  0.999
Pm  0.970  0.275  0.673
Pm  0.784  0.216  0.326
Pm  0.256  0.500  0.001
Pm  0.500  0.000  0.000
Pr  0.277  0.223  0.335
Pr  0.479  0.276  0.672
Pr  0.723  0.777  0.665
Pr  0.521  0.724  0.328
Th  0.000  0.000  0.000

Properties
raw total energy	-59.49	eV per cell
formation enthalpy at 0 K	0.3	eV/f.u.
total magnetization	0.00	μB/atom
crystal system	triclinic

=====

13.
A plane-wave DFT calculation with PBE was carried out for Pm5Pr6Th after structural relaxation.

Cell: 5.201 10.415 9.728 Å, 122.37 105.51 90.00°
Sites, in units of the cell vectors:
Pm  0.333  0.333  0.666
Pm  0.337  0.837  0.673
Pm  0.000  0.500  0.000
Pm  0.663  0.163  0.327
Pm  0.667  0.667  0.334
Th  0.000  0.000  0.000
Pr  0.836  0.587  0.671
Pr  0.500  0.754  0.000
Pr  0.500  0.246  0.000
Pr  0.164  0.413  0.329
Pr  0.164  0.916  0.329
Pr  0.836  0.084  0.671

Properties
raw total energy	-59.50	eV per cell
formation enthalpy at 0 K	0.3	eV/f.u.
total magnetization	0.00	μB/atom
crystal system	orthorhombic

=====

14.
A plane-wave DFT calculation with PBE was carried out for Pm2PrTh after structural relaxation.

Cell: 3.575 3.575 12.763 Å, 81.95 81.95 60.00°
Sites, in units of the cell vectors:
Pr  0.000  0.000  0.000
Pm  0.092  0.092  0.725
Pm  0.908  0.908  0.275
Th  0.500  0.500  0.500

Properties
raw total energy	-21.19	eV per cell
formation enthalpy at 0 K	0.5	eV/f.u.
energy above the most stable polymorph in this dataset	107	meV/atom
total magnetization	0.00	μB/atom
crystal system	trigonal

=====

15.
A plane-wave DFT calculation with PBE was carried out for Pm3PrTh2 after structural relaxation.

Cell: 6.718 6.935 9.507 Å, 111.39 90.01 89.98°
Sites, in units of the cell vectors:
Pm  0.751  0.923  0.345
Pm  0.251  0.578  0.655
Pm  0.749  0.422  0.345
Pm  0.750  0.852  0.705
Pm  0.249  0.077  0.655
Pm  0.250  0.148  0.295
Pr  0.250  0.648  0.296
Pr  0.750  0.352  0.704
Th  0.501  0.751  0.000
Th  0.499  0.249  0.000
Th  0.999  0.249  0.000
Th  0.001  0.751  0.000

Properties
raw total energy	-65.64	eV per cell
formation enthalpy at 0 K	1.1	eV/f.u.
total magnetization	0.00	μB/atom
crystal system	monoclinic

=====

16.
A plane-wave DFT calculation with PBE was carried out for Pm8Pr4Th after structural relaxation.

Cell: 7.938 7.938 7.938 Å, 90.09 90.09 90.09°
Sites, in units of the cell vectors:
Th  0.500  0.500  0.500
Pm  0.240  0.240  0.759
Pm  0.241  0.760  0.760
Pm  0.760  0.760  0.241
Pm  0.240  0.240  0.240
Pm  0.760  0.241  0.760
Pm  0.759  0.240  0.240
Pm  0.240  0.759  0.240
Pm  0.760  0.760  0.760
Pr  0.500  0.000  0.500
Pr  0.000  0.500  0.500
Pr  0.500  0.500  0.000
Pr  0.000  0.000  0.000

Properties
raw total energy	-58.24	eV per cell
formation enthalpy at 0 K	6.3	eV/f.u.
total magnetization	0.13	μB/atom
crystal system	trigonal

=====

17.
A plane-wave DFT calculation with PBE was carried out for Pm2Pr8Th after structural relaxation.

Cell: 5.216 8.265 9.766 Å, 104.69 105.49 90.00°
Sites, in units of the cell vectors:
Pr  0.680  0.910  0.360
Pr  0.591  0.450  0.182
Pr  0.320  0.090  0.640
Pr  0.044  0.734  0.089
Pr  0.134  0.179  0.268
Pr  0.956  0.266  0.911
Pr  0.409  0.550  0.818
Pr  0.866  0.821  0.732
Pm  0.228  0.636  0.456
Pm  0.772  0.364  0.544
Th  0.500  0.000  0.000

Properties
raw total energy	-54.82	eV per cell
formation enthalpy at 0 K	0.3	eV/f.u.
total magnetization	0.00	μB/atom
crystal system	monoclinic

=====

18.
A plane-wave DFT calculation with PBE was carried out for PmPr5Th2 after structural relaxation.

Cell: 3.594 11.525 9.094 Å, 129.32 101.40 90.00°
Sites, in units of the cell vectors:
Pr  0.631  0.868  0.261
Pr  0.369  0.132  0.739
Pr  0.631  0.394  0.261
Pr  0.369  0.606  0.739
Pr  0.000  0.500  0.000
Th  0.742  0.242  0.484
Th  0.258  0.758  0.516
Pm  0.000  0.000  0.000

Properties
raw total energy	-42.62	eV per cell
formation enthalpy at 0 K	0.9	eV/f.u.
total magnetization	0.00	μB/atom
crystal system	orthorhombic

=====

19.
A plane-wave DFT calculation with PBE was carried out for Pm5Pr4Th2 after structural relaxation.

Cell: 3.534 9.085 12.058 Å, 85.84 90.00 90.00°
Sites, in units of the cell vectors:
Pm  0.000  0.500  0.000
Pm  0.000  0.802  0.171
Pm  0.000  0.581  0.714
Pm  0.000  0.198  0.829
Pm  0.000  0.419  0.286
Pr  0.500  0.696  0.452
Pr  0.500  0.304  0.548
Pr  0.500  0.154  0.104
Pr  0.500  0.846  0.896
Th  0.000  0.954  0.629
Th  0.000  0.046  0.371

Properties
raw total energy	-56.22	eV per cell
formation enthalpy at 0 K	1.5	eV/f.u.
total magnetization	0.00	μB/atom
crystal system	monoclinic

=====

20.
A plane-wave DFT calculation with PBE was carried out for Pm8Pr3Th after structural relaxation.

Cell: 8.564 8.564 8.564 Å, 94.84 117.25 117.25°
Sites, in units of the cell vectors:
Pm  0.244  0.371  0.371
Pm  0.000  0.742  0.248
Pm  0.000  0.873  0.629
Pm  0.494  0.752  0.752
Pm  0.756  0.127  0.127
Pm  0.000  0.248  0.742
Pm  0.000  0.629  0.873
Pm  0.506  0.258  0.258
Th  0.000  0.000  0.000
Pr  0.500  0.750  0.250
Pr  0.500  0.250  0.750
Pr  0.000  0.500  0.500

Properties
raw total energy	-53.04	eV per cell
formation enthalpy at 0 K	6.7	eV/f.u.
total magnetization	0.00	μB/atom
crystal system	tetragonal